# 1
Below is crystalline Mg5P4 at its relaxed geometry, with properties calculated at the GGA-PBEsol level.

- SG: No. 139
- E_tot: -3.614 eV/atom
- DFT formation energy: -0.09 eV per atom
- Volume: 18.55 A^3/atom
- Crystal system: tetragonal

a = 4.126 Å, b = 6.687 Å, c = 6.687 Å
α = 84.54°, β = 72.03°, γ = 72.03°
Fractional positions:
Mg1 0.326 0.349 0.000
Mg2 0.326 0.000 0.349
Mg3 0.674 0.651 0.000
P1 0.000 0.281 0.719
Mg4 0.674 0.000 0.651
P2 0.000 0.719 0.281
P3 0.719 0.281 0.281
Mg5 0.000 0.000 0.000
P4 0.281 0.719 0.719

=====

# 2
Below is crystalline MgP3 at its relaxed geometry, with properties calculated at the GGA-PBEsol level.

- SG: No. 166
- E_tot: -4.907 eV/atom
- DFT formation energy: -0.13 eV per atom
- Volume: 16.12 A^3/atom
- Crystal system: trigonal

a = 3.454 Å, b = 3.454 Å, c = 6.551 Å
α = 74.72°, β = 74.72°, γ = 60.00°
Fractional positions:
Mg1 0.000 0.000 0.000
P1 0.763 0.763 0.710
P2 0.500 0.500 0.500
P3 0.237 0.237 0.290

=====

# 3
Below is crystalline MgP3 at its relaxed geometry, with properties calculated at the GGA-PBEsol level.

- SG: No. 44
- E_tot: -4.710 eV/atom
- DFT formation energy: 0.06 eV per atom
- Volume: 16.88 A^3/atom
- Crystal system: orthorhombic

a = 3.710 Å, b = 4.337 Å, c = 5.075 Å
α = 64.71°, β = 68.56°, γ = 90.00°
Fractional positions:
P1 0.284 0.982 0.431
P2 0.500 0.479 0.000
P3 0.716 0.413 0.569
Mg1 0.000 0.959 0.000

=====

# 4
Below is crystalline Mg2P at its relaxed geometry, with properties calculated at the GGA-PBEsol level.

- Energy above the lowest structure with this stoichiometry: 0.000 eV/atom
- SG: No. 58
- E_tot: -3.390 eV/atom
- DFT formation energy: -0.31 eV per atom
- Volume: 21.77 A^3/atom
- Crystal system: orthorhombic

a = 3.928 Å, b = 5.738 Å, c = 5.796 Å
α = 90.00°, β = 90.00°, γ = 90.00°
Fractional positions:
Mg1 0.500 0.741 0.871
Mg2 0.500 0.259 0.129
P1 0.000 0.000 0.000
P2 0.500 0.500 0.500
Mg3 0.000 0.759 0.371
Mg4 0.000 0.241 0.629

=====

# 5
Below is crystalline MgPPb2 at its relaxed geometry, with properties calculated at the GGA-PBEsol level.

- Energy above the lowest structure with this stoichiometry: 0.059 eV/atom
- SG: No. 216
- E_tot: -3.684 eV/atom
- DFT formation energy: 0.19 eV per atom
- Volume: 24.05 A^3/atom
- Crystal system: cubic

a = 5.143 Å, b = 5.143 Å, c = 5.143 Å
α = 60.00°, β = 60.00°, γ = 60.00°
Fractional positions:
P1 0.250 0.250 0.250
Pb1 0.000 0.000 0.000
Pb2 0.750 0.750 0.750
Mg1 0.500 0.500 0.500

=====

# 6
Below is crystalline MgPPb2 at its relaxed geometry, with properties calculated at the GGA-PBEsol level.

- Energy above the lowest structure with this stoichiometry: 0.000 eV/atom
- SG: No. 65
- E_tot: -3.744 eV/atom
- DFT formation energy: 0.13 eV per atom
- Volume: 23.83 A^3/atom
- Crystal system: orthorhombic

a = 3.902 Å, b = 4.985 Å, c = 4.985 Å
α = 100.56°, β = 90.00°, γ = 90.00°
Fractional positions:
Mg1 0.500 0.000 0.000
Pb1 0.000 0.000 0.500
Pb2 0.000 0.500 0.000
P1 0.500 0.500 0.500

=====

# 7
Below is crystalline MgP4Pb at its relaxed geometry, with properties calculated at the GGA-PBEsol level.

- SG: No. 216
- E_tot: -4.485 eV/atom
- DFT formation energy: 0.33 eV per atom
- Volume: 17.84 A^3/atom
- Crystal system: cubic

a = 5.329 Å, b = 5.329 Å, c = 5.329 Å
α = 60.00°, β = 60.00°, γ = 60.00°
Fractional positions:
Mg1 0.000 0.000 0.000
P1 0.369 0.369 0.894
P2 0.369 0.369 0.369
Pb1 0.750 0.750 0.750
P3 0.894 0.369 0.369
P4 0.369 0.894 0.369

=====

# 8
Below is crystalline MgPPb at its relaxed geometry, with properties calculated at the GGA-PBEsol level.

- SG: No. 216
- E_tot: -3.792 eV/atom
- DFT formation energy: 0.04 eV per atom
- Volume: 25.15 A^3/atom
- Crystal system: cubic

a = 4.743 Å, b = 4.743 Å, c = 4.743 Å
α = 60.00°, β = 60.00°, γ = 60.00°
Fractional positions:
Pb1 0.000 0.000 0.000
P1 0.250 0.250 0.250
Mg1 0.500 0.500 0.500